# 1
TcPbSe2N (GGA-PBE, optimized geometry); uncorrected formation energy = 1.631 eV/atom; symmetry = P4/mmm (123); crystal system = tetragonal
1.0
5.4966 0.0000 0.0000
0.0000 5.4966 0.0000
0.0000 0.0000 4.2461
Se N Pb Tc
2 1 1 1
Cartesian
0.0000 2.7483 0.0000
2.7483 0.0000 0.0000
0.0000 0.0000 2.1230
0.0000 0.0000 0.0000
2.7483 2.7483 2.1230

# 2
K2RbHPb (GGA-PBE, optimized geometry); uncorrected energy = -0.0766 hartree per atom; symmetry = P4/mmm (123); crystal system = tetragonal
1.0
5.6027 0.0000 0.0000
0.0000 5.6027 0.0000
0.0000 0.0000 5.8272
K Pb H Rb
2 1 1 1
Cartesian
0.0000 2.8014 0.0000
2.8014 0.0000 0.0000
2.8014 2.8014 2.9136
0.0000 0.0000 0.0000
0.0000 0.0000 2.9136

# 3
NaNi2Sb2 (GGA-PBE, optimized geometry); uncorrected formation energy = -0.182 eV/atom; symmetry = C2/c (15); crystal system = monoclinic
1.0
-5.0654 3.7767 -0.6492
2.0500 -3.8559 -4.6122
-1.9122 -4.5694 5.3673
Ni Na Sb
4 2 4
Cartesian
-1.1071 -1.3627 -3.8444
-3.8205 -3.2860 3.9503
-2.3437 -3.2168 -2.4938
-2.5839 -1.4319 2.5998
-4.6965 -2.4130 0.6369
-0.2311 -2.2357 -0.5309
-2.4122 0.1039 0.6839
-3.0962 -0.8193 -2.4056
-1.8314 -3.8294 2.5115
-2.5154 -4.7527 -0.5779

# 4
BaOs2Pd2 (GGA-PBE, optimized geometry); uncorrected energy = -0.2401 hartree per atom; symmetry = I4/mmm (139); crystal system = tetragonal
1.0
4.4796 0.0000 0.0000
0.0000 4.4796 0.0000
2.2398 2.2398 5.2518
Os Ba Pd
2 1 2
Cartesian
4.4796 4.4796 4.1135
2.2398 2.2398 1.1384
0.0000 0.0000 0.0000
2.2398 4.4796 2.6259
4.4796 2.2398 2.6259